Computed, not measured: Sr3Dy2TmTe6 after structural relaxation at the PBE level of DFT.

Properties
ρ in kg/m3: 6456
VASP energy in eV per atom: -4.60
Energy relative to the elements, uncorrected in eV per atom: -1.473
Total magnetization in μB/atom: 0.000

Geometry as CIF:
```
data_Sr3Dy2TmTe6
_chemical_formula_sum 'Sr6 Dy4 Tm2 Te12'
_symmetry_space_group_name_H-M 'C 1 2/m 1'
_symmetry_Int_Tables_number 12
_cell_length_a 7.762
_cell_length_b 13.423
_cell_length_c 7.950
_cell_angle_alpha 90.00
_cell_angle_beta 109.00
_cell_angle_gamma 90.00
loop_
_symmetry_equiv_pos_as_xyz
'x,y,z'
'-x,-y,-z'
'-x,y,-z'
'x,-y,z'
'x+1/2,y+1/2,z'
'-x+1/2,-y+1/2,-z'
'-x+1/2,y+1/2,-z'
'x+1/2,-y+1/2,z'
loop_
_atom_site_label
_atom_site_type_symbol
_atom_site_fract_x
_atom_site_fract_y
_atom_site_fract_z
_atom_site_occupancy
Sr1 Sr 0.000 0.000 0.000 1
Sr2 Sr 0.000 0.332 0.000 1
Dy1 Dy 0.000 0.166 0.500 1
Tm1 Tm 0.000 0.500 0.500 1
Te1 Te 0.241 0.335 0.729 1
Te2 Te 0.247 0.000 0.730 1
```